An optimized crystal structure of LuHfPt2, computed with PBE-GGA.

Results
- relative energy among the computed polymorphs (meV per atom) = 0.0
- total DFT energy (no corrections) (eV per atom) = -7.7917
- calculated formation energy (kJ per mole of atoms) = -111.2

Structure (POSCAR):
```
LuHfPt2
1.0
3.369 0.000 0.000
0.000 3.369 0.000
0.000 0.000 6.861
Lu Hf Pt
1 1 2
Direct
0.000 0.000 0.000
0.000 0.000 0.500
0.500 0.500 0.276
0.500 0.500 0.724
```

An optimized crystal structure of BeTcSb2, computed with PBE-GGA.

Results
- total DFT energy (no corrections) (eV per atom) = -5.5040
- formation energy without anion corrections (eV/atom) = 0.080

Structure (POSCAR):
```
BeTcSb2
1.0
3.203 0.000 0.000
0.000 3.203 0.000
0.000 0.000 7.653
Be Tc Sb
1 1 2
Direct
0.000 0.000 0.000
0.500 0.500 0.881
0.000 0.000 0.665
0.500 0.500 0.241
```

An optimized crystal structure of Cs6HAu3Br2, computed with PBE-GGA.

Results
- total DFT energy (no corrections) (eV per atom) = -2.5745

Structure (POSCAR):
```
Cs6HAu3Br2
1.0
4.441 -7.686 0.000
4.441 7.686 0.000
-2.967 0.000 8.410
Cs H Au Br
6 1 3 2
Direct
0.079 0.395 0.738
0.235 0.235 0.262
0.395 0.079 0.738
0.605 0.921 0.262
0.765 0.765 0.738
0.921 0.605 0.262
0.000 0.000 0.500
0.171 0.829 0.000
0.500 0.500 0.000
0.829 0.171 0.000
0.334 0.666 0.500
0.666 0.334 0.500
```

An optimized crystal structure of NaMnAlFe, computed with PBE-GGA.

Results
- relative energy among the computed polymorphs (meV per atom) = 175.6
- total DFT energy (no corrections) (eV per atom) = -5.2922
- calculated formation energy (kJ per mole of atoms) = 36.8

Structure (POSCAR):
```
NaMnAlFe
1.0
2.040 1.178 5.371
-2.040 1.178 5.371
0.000 -2.355 5.371
Na Mn Al Fe
1 1 1 1
Direct
0.000 0.000 0.000
0.197 0.197 0.197
0.805 0.805 0.805
0.513 0.513 0.513
```

An optimized crystal structure of CsAgSnHg2, computed with PBE-GGA.

Results
- relative energy among the computed polymorphs (meV per atom) = 79.2
- total DFT energy (no corrections) (eV per atom) = -1.6360
- calculated formation energy (kJ per mole of atoms) = 2.5

Structure (POSCAR):
```
CsAgSnHg2
1.0
5.672 0.000 0.000
0.000 5.672 0.000
0.000 0.000 5.454
Cs Ag Sn Hg
1 1 1 2
Direct
0.000 0.000 0.000
0.500 0.500 0.500
0.500 0.500 0.000
0.000 0.500 0.500
0.500 0.000 0.500
```

An optimized crystal structure of MnNi8Pt5, computed with PBE-GGA.

Results
- total DFT energy (no corrections) (eV per atom) = -6.0251
- calculated formation energy (kJ per mole of atoms) = 8.8

Structure (POSCAR):
```
MnNi8Pt5
1.0
-3.400 3.400 4.196
3.400 -3.400 4.196
3.400 3.400 -4.196
Mn Ni Pt
1 8 5
Direct
0.000 0.000 0.000
0.071 0.331 0.436
0.317 0.226 0.756
0.365 0.929 0.260
0.440 0.683 0.909
0.470 0.560 0.244
0.669 0.105 0.740
0.774 0.530 0.091
0.895 0.635 0.564
0.034 0.472 0.882
0.250 0.750 0.500
0.528 0.409 0.562
0.591 0.152 0.118
0.848 0.966 0.438
```